The following is a DFT calculation (GGA+U) of an optimized crystal structure of Tm2VF8.

Values from the calculation:
The calculated total energy comes out at -6.527 eV/atom.

CIF file:
```
data_Tm2VF8
_space_group_name_H-M_alt 'P 1'
_space_group_IT_number 1
_space_group_name_Hall 'P 1'
_cell_length_a 3.484
_cell_length_b 5.938
_cell_length_c 6.868
_cell_angle_alpha 101.63
_cell_angle_beta 104.69
_cell_angle_gamma 90.00
loop_
_atom_site_label
_atom_site_type_symbol
_atom_site_fract_x
_atom_site_fract_y
_atom_site_fract_z
_atom_site_occupancy
F1 F 0.601 0.539 0.203 1
F2 F 0.327 0.012 0.654 1
F3 F 0.209 0.340 0.418 1
F4 F 0.028 0.811 0.056 1
F5 F 0.791 0.660 0.582 1
F6 F 0.673 0.988 0.346 1
F7 F 0.399 0.461 0.797 1
F8 F 0.972 0.189 0.944 1
Tm1 Tm 0.181 0.703 0.361 1
Tm2 Tm 0.819 0.297 0.639 1
V1 V 0.500 0.000 0.000 1
```